The following is a GGA-PBE calculation of crystalline PrSmBiO2 at its relaxed geometry, from Alexandria.

Properties
Space group   I4mm (107)
V   113 Å³/f.u.
Density of states at the Fermi level   1.917 states/eV per cell
Uncorrected formation energy   -12.86 eV/f.u.

The structure in CIF format:
```
data_PrSmBiO2
_chemical_formula_sum 'Pr1 Sm1 Bi1 O2'
_symmetry_space_group_name_H-M 'P 1'
_symmetry_Int_Tables_number 1
_cell_length_a 7.569
_cell_length_b 7.569
_cell_length_c 7.569
_cell_angle_alpha 149.22
_cell_angle_beta 149.22
_cell_angle_gamma 44.09
loop_
_symmetry_equiv_pos_as_xyz
'x,y,z'
loop_
_atom_site_label
_atom_site_fract_x
_atom_site_fract_y
_atom_site_fract_z
Pr1 0.000 0.000 0.000
Sm1 0.332 0.332 0.000
Bi1 0.667 0.667 0.000
O1 0.412 0.912 0.500
O2 0.912 0.412 0.500
```